[1]
Here is a relaxed AlAgAsBr2 crystal from Alexandria via LeMat-Bulk. Energies are from PBE-GGA.

Calculated values
The uncorrected formation energy is 1.89 eV/f.u. The calculation puts the total moment at 1.94 Bohr magnetons per cell. Its space-group type is P4/mmm, No. 123. Its energy above the lowest structure with this stoichiometry is 266 meV/atom.

Lattice parameters (Å, degrees): 5.518 5.518 5.061 90.00 90.00 90.00
Last column: magnetic moment on the atom in μB.
Element x y z (fractional)
As 0.000 0.000 0.500  0.70
Br 0.500 0.000 0.000  0.09
Br 0.000 0.500 0.000  0.09
Ag 0.000 0.000 0.000  0.09
Al 0.500 0.500 0.500  0.02

---

[2]
Here is a relaxed Sm6Y3Er2Zr crystal from Alexandria via LeMat-Bulk. Energies are from PBE-GGA.

Calculated values
The calculation puts the total moment at 0.00 Bohr magnetons per cell. Its space-group type is C2/m, No. 12. The calculation puts the energy of formation at 50 meV/atom.

Lattice parameters (Å, degrees): 6.155 6.155 11.722 95.00 95.00 119.93
Element x y z (fractional)
Er 0.333 0.667 0.000
Er 0.667 0.333 0.000
Sm 0.408 0.081 0.243
Sm 0.592 0.919 0.757
Sm 0.754 0.754 0.243
Sm 0.919 0.592 0.757
Sm 0.246 0.246 0.757
Sm 0.081 0.408 0.243
Y 0.834 0.166 0.500
Y 0.500 0.500 0.500
Y 0.166 0.834 0.500
Zr 0.000 0.000 0.000

---

[3]
Here is a relaxed Pm2AgPb crystal from Alexandria via LeMat-Bulk. Energies are from PBE-GGA.

Calculated values
The calculation puts the total moment at 0.51 Bohr magnetons per cell. Its space-group type is P4/mmm, No. 123. The calculation puts the energy of formation at -389 meV/atom.

Lattice parameters (Å, degrees): 4.111 5.228 5.228 90.00 90.00 90.00
Last column: magnetic moment on the atom in μB.
Element x y z (fractional)
Pm 0.000 0.500 0.000  0.14
Pm 0.000 0.000 0.500  0.14
Ag 0.500 0.000 0.000  0.01
Pb 0.500 0.500 0.500  -0.01

---

[4]
Here is a relaxed PmMgAgCl6 crystal from Alexandria via LeMat-Bulk. Energies are from PBE-GGA.

Calculated values
The uncorrected formation energy is -15.28 eV/f.u. The calculation puts the total moment at 0.00 Bohr magnetons per cell. Its space-group type is P-31c, No. 163.

Lattice parameters (Å, degrees): 6.740 6.740 12.158 90.00 90.00 120.00
Element x y z (fractional)
Cl 0.639 0.661 0.130
Cl 0.361 0.023 0.630
Cl 0.977 0.639 0.870
Cl 0.639 0.977 0.370
Cl 0.661 0.023 0.870
Cl 0.339 0.361 0.370
Cl 0.977 0.339 0.630
Cl 0.023 0.661 0.370
Cl 0.339 0.977 0.130
Cl 0.361 0.339 0.870
Cl 0.023 0.361 0.130
Cl 0.661 0.639 0.630
Ag 0.000 0.000 0.000
Ag 0.000 0.000 0.500
Mg 0.667 0.333 0.750
Mg 0.333 0.667 0.250
Pm 0.333 0.667 0.750
Pm 0.667 0.333 0.250

---

[5]
Here is a relaxed AlTeOs2 crystal from Alexandria via LeMat-Bulk. Energies are from PBE-GGA.

Calculated values
The uncorrected formation energy is 2.21 eV/f.u. The calculation puts the total moment at 0.00 Bohr magnetons per cell. Its space-group type is R3m, No. 160. Its energy above the lowest structure with this stoichiometry is 283 meV/atom.

Lattice parameters (Å, degrees): 8.590 8.590 8.590 20.60 20.60 20.60
Element x y z (fractional)
Al 0.740 0.740 0.740
Os 0.002 0.002 0.002
Os 0.253 0.253 0.253
Te 0.505 0.505 0.505

---

- The highest total moment belongs to which entry?
  AlAgAsBr2

---

- total moment of number 3 (Pm2AgPb)?
  0.51 Bohr magnetons per cell

---

- Look up the total moment of the second one.
  0.00 Bohr magnetons per cell